# 1
Density functional theory data (PBE with a Hubbard U) for an optimized crystal structure of Ba2TlV2O7. Values from VASP.

```
&SYSTEM
  ibrav = 0, nat = 12, ntyp = 4
/
ATOMIC_SPECIES
Ba 137.33 Ba.upf
Tl 204.38 Tl.upf
V 50.94 V.upf
O 16.00 O.upf
CELL_PARAMETERS angstrom
4.071 0.000 0.000
0.000 3.829 0.000
-2.008 0.000 11.635
ATOMIC_POSITIONS crystal
Ba 0.000 0.000 0.000
Ba 0.222 0.000 0.463
Tl 0.614 0.500 0.224
V 0.411 0.500 0.827
V 0.790 0.500 0.637
O 0.261 0.000 0.234
O 0.327 0.500 0.649
O 0.412 0.000 0.830
O 0.491 0.500 0.994
O 0.743 0.500 0.480
O 0.802 0.000 0.632
O 0.903 0.500 0.808
```

# 2
Density functional theory data (PBE with a Hubbard U) for an optimized crystal structure of Ba3Tl2VO8. Values from VASP.

```
&SYSTEM
  ibrav = 0, nat = 14, ntyp = 4
/
ATOMIC_SPECIES
Ba 137.33 Ba.upf
Tl 204.38 Tl.upf
V 50.94 V.upf
O 16.00 O.upf
CELL_PARAMETERS angstrom
5.926 0.000 0.000
-2.963 5.132 0.000
0.000 0.000 8.017
ATOMIC_POSITIONS crystal
Ba 0.000 0.000 0.000
Ba 0.333 0.667 0.624
Ba 0.667 0.333 0.376
Tl 0.333 0.667 0.195
Tl 0.667 0.333 0.805
V 0.000 0.000 0.500
O 0.151 0.302 0.358
O 0.151 0.849 0.358
O 0.302 0.151 0.642
O 0.333 0.667 0.934
O 0.667 0.333 0.066
O 0.698 0.849 0.358
O 0.849 0.151 0.642
O 0.849 0.698 0.642
```

# 3
Density functional theory data (PBE with a Hubbard U) for an optimized crystal structure of BaTl3V4O12. Values from VASP.

```
&SYSTEM
  ibrav = 0, nat = 20, ntyp = 4
/
ATOMIC_SPECIES
Ba 137.33 Ba.upf
Tl 204.38 Tl.upf
V 50.94 V.upf
O 16.00 O.upf
CELL_PARAMETERS angstrom
6.857 3.959 2.319
-6.857 3.959 2.319
0.000 -7.917 2.319
ATOMIC_POSITIONS crystal
Ba 0.000 0.000 0.000
Tl 0.000 0.568 0.432
Tl 0.432 0.000 0.568
Tl 0.568 0.432 0.000
V 0.086 0.500 0.914
V 0.500 0.500 0.500
V 0.500 0.914 0.086
V 0.914 0.086 0.500
O 0.036 0.964 0.500
O 0.111 0.638 0.798
O 0.202 0.362 0.889
O 0.362 0.889 0.202
O 0.375 0.625 0.500
O 0.500 0.036 0.964
O 0.500 0.375 0.625
O 0.625 0.500 0.375
O 0.638 0.798 0.111
O 0.798 0.111 0.638
O 0.889 0.202 0.362
O 0.964 0.500 0.036
```

# 4
Density functional theory data (PBE with a Hubbard U) for an optimized crystal structure of BaTlV2O8. Values from VASP.

```
&SYSTEM
  ibrav = 0, nat = 12, ntyp = 4
/
ATOMIC_SPECIES
Ba 137.33 Ba.upf
Tl 204.38 Tl.upf
V 50.94 V.upf
O 16.00 O.upf
CELL_PARAMETERS angstrom
5.766 0.000 0.000
-2.883 4.993 0.000
0.000 0.000 7.677
ATOMIC_POSITIONS crystal
Ba 0.000 0.000 0.000
Tl 0.000 0.000 0.500
V 0.333 0.667 0.762
V 0.667 0.333 0.238
O 0.159 0.330 0.697
O 0.171 0.841 0.697
O 0.330 0.171 0.303
O 0.333 0.667 0.983
O 0.667 0.333 0.017
O 0.670 0.829 0.697
O 0.829 0.159 0.303
O 0.841 0.670 0.303
```

# 5
Density functional theory data (PBE with a Hubbard U) for an optimized crystal structure of BaTl2VO. Values from VASP.

```
&SYSTEM
  ibrav = 0, nat = 5, ntyp = 4
/
ATOMIC_SPECIES
Ba 137.33 Ba.upf
Tl 204.38 Tl.upf
V 50.94 V.upf
O 16.00 O.upf
CELL_PARAMETERS angstrom
6.036 0.000 0.000
0.000 6.036 0.000
0.000 0.000 3.741
ATOMIC_POSITIONS crystal
Ba 0.000 0.000 0.000
Tl 0.000 0.500 0.500
Tl 0.500 0.000 0.500
V 0.500 0.500 0.500
O 0.500 0.500 0.000
```

# 6
Density functional theory data (PBE with a Hubbard U) for an optimized crystal structure of BaTlV2O6. Values from VASP.

```
&SYSTEM
  ibrav = 0, nat = 20, ntyp = 4
/
ATOMIC_SPECIES
Ba 137.33 Ba.upf
Tl 204.38 Tl.upf
V 50.94 V.upf
O 16.00 O.upf
CELL_PARAMETERS angstrom
5.653 -5.825 0.000
5.653 5.825 0.000
-1.065 0.000 5.772
ATOMIC_POSITIONS crystal
Ba 0.119 0.881 0.750
Ba 0.881 0.119 0.250
Tl 0.343 0.657 0.250
Tl 0.657 0.343 0.750
V 0.201 0.366 0.739
V 0.366 0.201 0.239
V 0.634 0.799 0.761
V 0.799 0.634 0.261
O 0.041 0.215 0.682
O 0.145 0.567 0.802
O 0.215 0.041 0.182
O 0.320 0.348 0.488
O 0.348 0.320 0.988
O 0.433 0.855 0.698
O 0.567 0.145 0.302
O 0.652 0.680 0.012
O 0.680 0.652 0.512
O 0.785 0.959 0.818
O 0.855 0.433 0.198
O 0.959 0.785 0.318
```

# 7
Density functional theory data (PBE with a Hubbard U) for an optimized crystal structure of BaTlWO6. Values from VASP.

```
&SYSTEM
  ibrav = 0, nat = 9, ntyp = 4
/
ATOMIC_SPECIES
Ba 137.33 Ba.upf
Tl 204.38 Tl.upf
W 183.84 W.upf
O 16.00 O.upf
CELL_PARAMETERS angstrom
5.704 0.000 0.000
-2.852 4.939 0.000
0.000 0.000 5.593
ATOMIC_POSITIONS crystal
Ba 0.000 0.000 0.000
Tl 0.333 0.667 0.500
W 0.667 0.333 0.500
O 0.407 0.038 0.704
O 0.407 0.369 0.296
O 0.631 0.038 0.296
O 0.631 0.593 0.704
O 0.962 0.369 0.704
O 0.962 0.593 0.296
```

# 8
Density functional theory data (PBE with a Hubbard U) for an optimized crystal structure of Ba2TlWO. Values from VASP.

```
&SYSTEM
  ibrav = 0, nat = 5, ntyp = 4
/
ATOMIC_SPECIES
Ba 137.33 Ba.upf
Tl 204.38 Tl.upf
W 183.84 W.upf
O 16.00 O.upf
CELL_PARAMETERS angstrom
5.371 0.000 0.000
0.000 5.371 0.000
0.000 0.000 5.410
ATOMIC_POSITIONS crystal
Ba 0.000 0.500 0.000
Ba 0.500 0.000 0.000
Tl 0.000 0.000 0.500
W 0.500 0.500 0.500
O 0.000 0.000 0.000
```

| no. | electronic total energy (eV per atom) | calculated density (g cm⁻³) |
| --- | --- | --- |
| 1 | -6.638 | 6.3 |
| 2 | -5.831 | 6.8 |
| 3 | -6.279 | 5.0 |
| 4 | -6.591 | 4.3 |
| 5 | -4.073 | 7.5 |
| 6 | -6.874 | 4.7 |
| 7 | -6.253 | 6.5 |
| 8 | -3.961 | 7.2 |